This record from the Alexandria database describes a relaxed structure of LaAgHg2. The functional is GGA-PBEsol.

Calculated values
Electronic total energy (eV/atom): -2.8536
ΔE_f (eV per formula unit): -1.6
M_tot (μB/f.u.): 0.0

Cell: 5.066 5.066 5.066 Å, 119.91 119.91 90.16°
Element x y z (fractional)
La: 0.000 0.000 0.000
Ag: 0.750 0.250 0.500
Hg: 0.250 0.750 0.500
Hg: 0.500 0.500 0.000